Entry 1:
# CaAl2Cd

An optimized crystal structure of CaAl2Cd (PBE, the Alexandria database).

Symmetry: P4/mmm, No. 123
Total DFT energy (no corrections): -2.709 eV per atom
Total magnetization: 0.00 μB/f.u.
Formation energy: -10.52 kJ per mole of atoms

Cell lengths 4.4235, 4.4235, 4.4457 Å; angles 90.00, 90.00, 90.00 degrees
Positions (direct):
Al (0.0000, 0.0000, 0.0000)
Al (0.5000, 0.5000, 0.0000)
Ca (0.5000, 0.0000, 0.5000)
Cd (0.0000, 0.5000, 0.5000)

***

Entry 2:
# LiAcPrIr

An optimized crystal structure of LiAcPrIr (PBE, the Alexandria database).

Symmetry: F-43m, No. 216
Total DFT energy (no corrections): -5.217 eV per atom
Total magnetization: 0.00 μB/f.u.
Formation energy: -29.04 kJ per mole of atoms

Cell lengths 5.2494, 5.2494, 5.2494 Å; angles 60.00, 60.00, 60.00 degrees
Positions (direct):
Ac (0.7500, 0.7500, 0.7500)
Ir (0.5000, 0.5000, 0.5000)
Li (0.0000, 0.0000, 0.0000)
Pr (0.2500, 0.2500, 0.2500)

***

Entry 3:
# Ce5P4Se

An optimized crystal structure of Ce5P4Se (PBE, the Alexandria database).

Symmetry: Immm, No. 71
Total DFT energy (no corrections): -7.058 eV per atom
Total magnetization: 3.44 μB/f.u.
Energy relative to the elements, uncorrected: -1.578 eV/atom

Cell lengths 4.1104, 5.8192, 10.9021 Å; angles 105.48, 100.87, 90.00 degrees
Positions (direct):
P (0.2015, 0.2015, 0.4029)
P (0.7985, 0.7985, 0.5971)
Ce (0.0000, 0.5000, 0.0000)
P (0.5996, 0.5996, 0.1991)
Ce (0.6049, 0.1049, 0.2099)
Ce (0.3951, 0.8951, 0.7901)
Se (0.0000, 0.0000, 0.0000)
P (0.4004, 0.4004, 0.8009)
Ce (0.1996, 0.6996, 0.3992)
Ce (0.8004, 0.3004, 0.6008)